# CsCdSnPb2

A relaxed CsCdSnPb2 crystal (PBE-GGA, Alexandria via LeMat-Bulk).

## Properties
- DFT formation energy (kcal/mol of atoms) = -2.2
- VASP energy (eV/atom) = -2.732

Lattice parameters (Å, degrees): 5.1336 5.1336 13.9132 90.00 90.00 90.00
Space group I-4m2 (No. 119)
Unique sites:
Cs 0.0000 0.0000 0.0000 x2
Cd 0.0000 0.5000 0.7500 x2
Sn 0.0000 0.5000 0.2500 x2
Pb 0.0000 0.0000 0.3776 x4



# Cs2Cd4Sn3Pb

A relaxed Cs2Cd4Sn3Pb crystal (PBE-GGA, Alexandria via LeMat-Bulk).

## Properties
- DFT formation energy (kcal/mol of atoms) = -2.9
- VASP energy (eV/atom) = -2.233

Lattice parameters (Å, degrees): 5.0840 5.0840 12.7320 90.00 90.00 90.00
Space group P-4m2 (No. 115)
Unique sites:
Cs 0.0000 0.5000 0.2440 x2
Cd 0.0000 0.0000 0.0000 x1
Cd 0.0000 0.5000 0.6412 x2
Cd 0.5000 0.5000 0.0000 x1
Sn 0.0000 0.5000 0.8738 x2
Sn 0.5000 0.5000 0.5000 x1
Pb 0.0000 0.0000 0.5000 x1



# CsCdSn2Pb

A relaxed CsCdSn2Pb crystal (PBE-GGA, Alexandria via LeMat-Bulk).

## Properties
- DFT formation energy (kcal/mol of atoms) = -3.4
- VASP energy (eV/atom) = -2.842

Lattice parameters (Å, degrees): 5.1658 5.3954 12.3769 90.00 90.00 90.00
Space group Imm2 (No. 44)
Unique sites:
Cs 0.0000 0.0000 0.0000 x2
Cd 0.0000 0.0000 0.6224 x2
Sn 0.0000 0.0000 0.3832 x2
Sn 0.0000 0.5000 0.2529 x2
Pb 0.0000 0.5000 0.7438 x2



# Cs2CdSn3Pb4

A relaxed Cs2CdSn3Pb4 crystal (PBE-GGA, Alexandria via LeMat-Bulk).

## Properties
- DFT formation energy (kcal/mol of atoms) = -2.8
- VASP energy (eV/atom) = -3.066

Lattice parameters (Å, degrees): 5.2937 5.2937 13.3338 90.00 90.00 90.00
Space group P-4m2 (No. 115)
Unique sites:
Cs 0.0000 0.5000 0.2471 x2
Cd 0.5000 0.5000 0.0000 x1
Sn 0.0000 0.0000 0.0000 x1
Sn 0.0000 0.5000 0.6298 x2
Pb 0.0000 0.0000 0.5000 x1
Pb 0.0000 0.5000 0.8743 x2
Pb 0.5000 0.5000 0.5000 x1



# Cs2Tl4CdPb3

A relaxed Cs2Tl4CdPb3 crystal (PBE-GGA, Alexandria via LeMat-Bulk).

## Properties
- DFT formation energy (kcal/mol of atoms) = -1.4
- VASP energy (eV/atom) = -2.382

Lattice parameters (Å, degrees): 5.3901 5.3901 13.0179 90.00 90.00 90.00
Space group P-4m2 (No. 115)
Unique sites:
Cs 0.0000 0.5000 0.2460 x2
Tl 0.0000 0.0000 0.0000 x1
Tl 0.0000 0.5000 0.6263 x2
Tl 0.5000 0.5000 0.0000 x1
Cd 0.0000 0.0000 0.5000 x1
Pb 0.0000 0.5000 0.8677 x2
Pb 0.5000 0.5000 0.5000 x1



# CsTl2CdPb

A relaxed CsTl2CdPb crystal (PBE-GGA, Alexandria via LeMat-Bulk).

## Properties
- DFT formation energy (kcal/mol of atoms) = -2.1
- VASP energy (eV/atom) = -2.134

Lattice parameters (Å, degrees): 5.3059 5.3373 12.9873 90.00 90.00 90.00
Space group Imm2 (No. 44)
Unique sites:
Cs 0.0000 0.0000 0.0000 x2
Tl 0.0000 0.0000 0.3853 x2
Tl 0.0000 0.5000 0.2448 x2
Cd 0.0000 0.0000 0.6209 x2
Pb 0.0000 0.5000 0.7467 x2



# Cs2TlCd4Pb3

A relaxed Cs2TlCd4Pb3 crystal (PBE-GGA, Alexandria via LeMat-Bulk).

## Properties
- DFT formation energy (kcal/mol of atoms) = -1.7
- VASP energy (eV/atom) = -1.961

Lattice parameters (Å, degrees): 5.2216 5.2216 12.8403 90.00 90.00 90.00
Space group P-4m2 (No. 115)
Unique sites:
Cs 0.0000 0.5000 0.2454 x2
Tl 0.0000 0.0000 0.5000 x1
Cd 0.0000 0.0000 0.0000 x1
Cd 0.0000 0.5000 0.6342 x2
Cd 0.5000 0.5000 0.0000 x1
Pb 0.0000 0.5000 0.8730 x2
Pb 0.5000 0.5000 0.5000 x1



# Cs2Tl3CdPb4

A relaxed Cs2Tl3CdPb4 crystal (PBE-GGA, Alexandria via LeMat-Bulk).

## Properties
- DFT formation energy (kcal/mol of atoms) = -1.5
- VASP energy (eV/atom) = -2.521

Lattice parameters (Å, degrees): 5.3632 5.3632 13.0866 90.00 90.00 90.00
Space group P-4m2 (No. 115)
Unique sites:
Cs 0.0000 0.5000 0.2450 x2
Tl 0.0000 0.0000 0.0000 x1
Tl 0.0000 0.5000 0.6368 x2
Cd 0.5000 0.5000 0.0000 x1
Pb 0.0000 0.0000 0.5000 x1
Pb 0.0000 0.5000 0.8752 x2
Pb 0.5000 0.5000 0.5000 x1



- Number 7 is which compound?
  Cs2TlCd4Pb3



- Which value of DFT formation energy does entry 6 give?
  -2.1 kcal/mol of atoms